(1)
Density functional theory data (PBE) for a relaxed ZnCd2SbPt crystal.

It has space group P4/mmm (No. 123), with a = 5.1984 Å, b = 5.1984 Å, c = 4.8171 Å, α = 90.00°, β = 90.00° and γ = 90.00°. The inequivalent atoms are Zn at (0.0000, 0.0000, 0.0000), Cd at (0.0000, 0.5000, 0.5000), Sb at (0.5000, 0.5000, 0.0000) and Pt at (0.0000, 0.0000, 0.5000).

The value obtained for the electronic total energy is -2.51 eV per atom.



(2)
Density functional theory data (PBE) for a relaxed Li2PmAuO4 crystal.

It has space group I-42m (No. 121), with a = 5.5034 Å, b = 5.5034 Å, c = 6.1900 Å, α = 90.00°, β = 90.00° and γ = 90.00°. The inequivalent atoms are Li at (0.0000, 0.5000, 0.2500), Pm at (0.0000, 0.0000, 0.0000), Au at (0.0000, 0.0000, 0.5000) and O at (0.2377, 0.2377, 0.2929).

The value obtained for the electronic total energy is -5.52 eV per atom.



(3)
Density functional theory data (PBE) for a relaxed Ca3OsI crystal.

It has space group Pm-3m (No. 221), with a = 5.5351 Å, b = 5.5351 Å, c = 5.5351 Å, α = 90.00°, β = 90.00° and γ = 90.00°. The inequivalent atoms are Ca at (0.0000, 0.0000, 0.5000), Os at (0.0000, 0.0000, 0.0000) and I at (0.5000, 0.5000, 0.5000).

As for the excess energy over the best structure of this formula in the dataset: 0.000 eV/atom.



(4)
Density functional theory data (PBE) for a relaxed CaNdCuPt crystal.

It has space group F-43m (No. 216), with a = 7.1161 Å, b = 7.1161 Å, c = 7.1161 Å, α = 90.00°, β = 90.00° and γ = 90.00°. The inequivalent atoms are Ca at (0.0000, 0.0000, 0.0000), Nd at (0.0000, 0.0000, 0.5000), Cu at (0.2500, 0.2500, 0.2500) and Pt at (0.2500, 0.2500, 0.7500).

As for the excess energy over the best structure of this formula in the dataset: 0.063 eV/atom. The value obtained for the formation energy is -0.58 eV/atom.



(5)
Density functional theory data (PBE) for a relaxed Al2In crystal.

It has space group I4_1/amd (No. 141, origin choice 2), with a = 3.9948 Å, b = 3.9948 Å, c = 16.8769 Å, α = 90.00°, β = 90.00° and γ = 90.00°. The inequivalent atoms are Al at (0.0000, 0.2500, 0.2986) and In at (0.0000, 0.2500, 0.8750).

The value obtained for the formation energy is 0.25 eV/atom.



(6)
Density functional theory data (PBE) for a relaxed AcPmSe2S crystal.

It has space group P4/nmm (No. 129, origin choice 2), with a = 4.3665 Å, b = 4.3665 Å, c = 15.2213 Å, α = 90.00°, β = 90.00° and γ = 90.00°. The inequivalent atoms are Ac at (0.2500, 0.2500, 0.1263), Pm at (0.2500, 0.2500, 0.6066), Se at (0.2500, 0.2500, 0.4058), Se at (0.2500, 0.2500, 0.7895) and S at (0.2500, 0.7500, 0.0000).

The value obtained for the electronic total energy is -5.82 eV per atom.



(7)
Density functional theory data (PBE) for a relaxed CdSb2Cl crystal.

It has space group Cmm2 (No. 35), with a = 3.9364 Å, b = 5.8874 Å, c = 9.6404 Å, α = 90.00°, β = 90.00° and γ = 90.00°. The inequivalent atoms are Cd at (0.0000, 0.0000, 0.0000), Sb at (0.0000, 0.0000, 0.4768), Sb at (0.0000, 0.5000, 0.2425) and Cl at (0.0000, 0.5000, 0.8227).

As for the excess energy over the best structure of this formula in the dataset: 0.161 eV/atom.



(8)
Density functional theory data (PBE) for a relaxed YV3Br crystal.

It has space group Pm-3m (No. 221), with a = 5.0409 Å, b = 5.0409 Å, c = 5.0409 Å, α = 90.00°, β = 90.00° and γ = 90.00°. The inequivalent atoms are Y at (0.0000, 0.0000, 0.0000), V at (0.0000, 0.0000, 0.5000) and Br at (0.5000, 0.5000, 0.5000).

As for the excess energy over the best structure of this formula in the dataset: 1.334 eV/atom.